1.
A plane-wave DFT calculation with PBE-GGA was carried out for an optimized crystal structure of Dy3Tm6PuSc2.

Lattice parameters (Å, degrees): 5.9775 5.9775 11.4187 95.02 95.02 119.99
Closest atoms and distances in Å follow each position.
Positions (direct):
Dy1 0.0000 0.0000 0.0000  6 Dy 3.44-3.46, 6 Tm 3.50-3.52
Dy2 0.3324 0.6676 0.0000  6 Dy 3.44-3.47, 6 Tm 3.51
Dy3 0.6676 0.3324 0.0000  6 Dy 3.44-3.47, 6 Tm 3.51
Tm1 0.0873 0.4188 0.2569  1 Pu 3.38, 2 Sc 3.39, 6 Tm 3.43-3.46, 3 Dy 3.50-3.51
Tm2 0.2495 0.2495 0.7432  1 Pu 3.38, 2 Sc 3.39, 6 Tm 3.43-3.46, 3 Dy 3.51-3.52
Tm3 0.4188 0.0873 0.2569  1 Pu 3.38, 2 Sc 3.39, 6 Tm 3.43-3.46, 3 Dy 3.50-3.51
Tm4 0.5812 0.9127 0.7431  1 Pu 3.38, 2 Sc 3.39, 6 Tm 3.43-3.46, 3 Dy 3.50-3.51
Tm5 0.7505 0.7505 0.2568  1 Pu 3.38, 2 Sc 3.39, 6 Tm 3.43-3.46, 3 Dy 3.51-3.52
Tm6 0.9127 0.5812 0.7431  1 Pu 3.38, 2 Sc 3.39, 6 Tm 3.43-3.46, 3 Dy 3.50-3.51
Pu1 0.5000 0.5000 0.5000  6 Tm 3.38, 6 Sc 3.45
Sc1 0.1666 0.8334 0.5000  6 Tm 3.39, 3 Sc 3.45, 3 Pu 3.45
Sc2 0.8334 0.1666 0.5000  6 Tm 3.39, 3 Sc 3.45, 3 Pu 3.45

## Properties
Magnetization ... 6.571 μB/f.u.
ΔH_f (0 K) ... 0.06 eV per atom



2.
A plane-wave DFT calculation with PBE-GGA was carried out for an optimized crystal structure of Dy2TmPuSc4.

Lattice parameters (Å, degrees): 6.7419 6.7419 11.5412 107.23 107.23 59.88
Closest atoms and distances in Å follow each position.
Positions (direct):
Dy1 0.0000 0.0000 0.0000  2 Pu 3.36, 4 Dy 3.37, 6 Sc 3.37-3.41
Dy2 0.0000 0.0000 0.5000  6 Sc 3.36-3.40, 2 Pu 3.36, 4 Tm 3.37
Dy3 0.0000 0.5000 0.0000  6 Sc 3.30-3.39, 4 Dy 3.36-3.37, 2 Pu 3.37
Dy4 0.5000 0.0000 0.0000  6 Sc 3.30-3.39, 4 Dy 3.36-3.37, 2 Pu 3.37
Tm1 0.0000 0.5000 0.5000  6 Sc 3.29-3.38, 2 Tm 3.36, 2 Dy 3.37, 2 Pu 3.37
Tm2 0.5000 0.0000 0.5000  6 Sc 3.29-3.38, 2 Tm 3.36, 2 Dy 3.37, 2 Pu 3.37
Pu1 0.5000 0.5000 0.0000  6 Sc 3.26-3.32, 6 Dy 3.36-3.37
Pu2 0.5000 0.5000 0.5000  6 Sc 3.25-3.31, 2 Dy 3.36, 4 Tm 3.37
Sc1 0.2551 0.2551 0.2566  1 Pu 3.25, 2 Tm 3.29, 6 Sc 3.32-3.43, 3 Dy 3.39-3.41
Sc2 0.2550 0.2550 0.7554  1 Pu 3.26, 3 Dy 3.30-3.40, 6 Sc 3.31-3.43, 2 Tm 3.38
Sc3 0.2580 0.7423 0.2506  6 Sc 3.26-3.47, 2 Pu 3.31-3.32, 1 Tm 3.33, 3 Dy 3.34-3.37
Sc4 0.2577 0.7420 0.7494  6 Sc 3.26-3.47, 2 Pu 3.31-3.32, 1 Tm 3.33, 3 Dy 3.34-3.37
Sc5 0.7423 0.2580 0.2506  6 Sc 3.26-3.47, 2 Pu 3.31-3.32, 1 Tm 3.33, 3 Dy 3.34-3.37
Sc6 0.7420 0.2577 0.7494  6 Sc 3.26-3.47, 2 Pu 3.31-3.32, 1 Tm 3.33, 3 Dy 3.34-3.37
Sc7 0.7450 0.7450 0.2446  1 Pu 3.26, 3 Dy 3.30-3.40, 6 Sc 3.31-3.43, 2 Tm 3.38
Sc8 0.7449 0.7449 0.7434  1 Pu 3.25, 2 Tm 3.29, 6 Sc 3.32-3.43, 3 Dy 3.39-3.41

## Properties
Magnetization ... 6.249 μB/f.u.
ΔH_f (0 K) ... 0.06 eV per atom



3.
A plane-wave DFT calculation with PBE-GGA was carried out for an optimized crystal structure of DyTm2PuSc4.

Lattice parameters (Å, degrees): 8.9165 8.9165 6.4696 111.27 111.27 87.57
Closest atoms and distances in Å follow each position.
Positions (direct):
Dy1 0.0000 0.0000 0.0000  6 Sc 3.11-3.24, 2 Dy 3.23
Dy2 0.0000 0.0000 0.5000  6 Sc 3.11-3.24, 2 Dy 3.23
Tm1 0.0000 0.5000 0.0000  6 Sc 3.22-3.27, 2 Pu 3.23
Tm2 0.5000 0.0000 0.5000  6 Sc 3.22-3.27, 2 Pu 3.23
Tm3 0.5000 0.5000 0.0000  6 Sc 3.07-3.21, 2 Tm 3.23
Tm4 0.5000 0.5000 0.5000  6 Sc 3.07-3.21, 2 Tm 3.23
Pu1 0.0000 0.5000 0.5000  6 Sc 2.95-3.17, 2 Tm 3.23
Pu2 0.5000 0.0000 0.0000  6 Sc 2.95-3.17, 2 Tm 3.23
Sc1 0.2404 0.2625 0.5027  1 Pu 2.95, 3 Tm 3.20-3.22, 2 Dy 3.23-3.24, 2 Sc 3.25
Sc2 0.2516 0.7483 0.5142  1 Sc 3.05, 3 Tm 3.07-3.27, 1 Dy 3.11, 2 Pu 3.17
Sc3 0.2517 0.7484 0.9858  1 Sc 3.05, 3 Tm 3.07-3.27, 1 Dy 3.11, 2 Pu 3.17
Sc4 0.2625 0.2404 0.0027  1 Pu 2.95, 3 Tm 3.20-3.22, 2 Dy 3.23-3.24, 2 Sc 3.25
Sc5 0.7375 0.7596 0.9973  1 Pu 2.95, 3 Tm 3.20-3.22, 2 Dy 3.23-3.24, 2 Sc 3.25
Sc6 0.7483 0.2516 0.0142  1 Sc 3.05, 3 Tm 3.07-3.27, 1 Dy 3.11, 2 Pu 3.17
Sc7 0.7484 0.2517 0.4858  1 Sc 3.05, 3 Tm 3.07-3.27, 1 Dy 3.11, 2 Pu 3.17
Sc8 0.7596 0.7375 0.4973  1 Pu 2.95, 3 Tm 3.20-3.22, 2 Dy 3.23-3.24, 2 Sc 3.25

## Properties
Magnetization ... 8.977 μB/f.u.
ΔH_f (0 K) ... 0.46 eV per atom



4.
A plane-wave DFT calculation with PBE-GGA was carried out for an optimized crystal structure of DyPuZrSc.

Lattice parameters (Å, degrees): 5.2715 5.2715 5.2715 60.00 60.00 60.00
Closest atoms and distances in Å follow each position.
Positions (direct):
Dy1 0.0000 0.0000 0.0000  4 Sc 3.23, 4 Zr 3.23
Pu1 0.5000 0.5000 0.5000  4 Sc 3.23, 4 Zr 3.23
Zr1 0.2500 0.2500 0.2500  4 Dy 3.23, 4 Pu 3.23
Sc1 0.7500 0.7500 0.7500  4 Dy 3.23, 4 Pu 3.23

## Properties
Magnetization ... 6.476 μB/f.u.
ΔH_f (0 K) ... 0.21 eV per atom



5.
A plane-wave DFT calculation with PBE-GGA was carried out for an optimized crystal structure of DyPuSe3.

Lattice parameters (Å, degrees): 11.1216 4.0673 11.0395 90.00 90.00 90.00
Closest atoms and distances in Å follow each position.
Positions (direct):
Dy1 0.0100 0.2500 0.1836  7 Se 2.87-2.95
Dy2 0.4900 0.7500 0.6836  7 Se 2.87-2.95
Dy3 0.5100 0.2500 0.3164  7 Se 2.87-2.95
Dy4 0.9900 0.7500 0.8164  7 Se 2.87-2.95
Pu1 0.1881 0.2500 0.5034  7 Se 2.96-3.02
Pu2 0.3119 0.7500 0.0034  7 Se 2.96-3.02
Pu3 0.6881 0.2500 0.9966  7 Se 2.96-3.02
Pu4 0.8119 0.7500 0.4966  7 Se 2.96-3.02
Se1 0.0479 0.7500 0.3684  2 Dy 2.91, 3 Pu 2.96-2.98
Se2 0.1204 0.2500 0.9444  3 Dy 2.87-2.91, 2 Pu 3.02
Se3 0.2276 0.7500 0.6973  2 Dy 2.92-2.95, 2 Pu 2.99, 1 Se 3.26
Se4 0.2724 0.2500 0.1973  2 Dy 2.92-2.95, 2 Pu 2.99, 1 Se 3.26
Se5 0.3796 0.7500 0.4444  3 Dy 2.87-2.91, 2 Pu 3.02
Se6 0.4521 0.2500 0.8684  2 Dy 2.91, 3 Pu 2.96-2.98
Se7 0.5479 0.7500 0.1316  2 Dy 2.91, 3 Pu 2.96-2.98
Se8 0.6204 0.2500 0.5556  3 Dy 2.87-2.91, 2 Pu 3.02
Se9 0.7276 0.7500 0.8027  2 Dy 2.92-2.95, 2 Pu 2.99, 1 Se 3.26
Se10 0.7724 0.2500 0.3027  2 Dy 2.92-2.95, 2 Pu 2.99, 1 Se 3.26
Se11 0.8796 0.7500 0.0556  3 Dy 2.87-2.91, 2 Pu 3.02
Se12 0.9521 0.2500 0.6316  2 Dy 2.91, 3 Pu 2.96-2.98

## Properties
Polymorph energy (0 for the lowest one) ... 0 meV/atom
Magnetization ... 5.000 μB/f.u.
Formation energy from raw total energies ... -1.66 eV per atom



6.
A plane-wave DFT calculation with PBE-GGA was carried out for an optimized crystal structure of DyPu2Se3.

Lattice parameters (Å, degrees): 7.1320 7.1320 7.1320 146.38 131.74 60.10
Closest atoms and distances in Å follow each position.
Positions (direct):
Dy1 0.0000 0.0000 0.0000  6 Se 2.90-2.92
Pu1 0.3330 0.3330 0.0000  6 Se 2.92-2.93
Pu2 0.6670 0.6670 0.0000  6 Se 2.92-2.93
Se1 0.1647 0.6647 0.5000  2 Dy 2.90, 4 Pu 2.92-2.93
Se2 0.5000 0.0000 0.5000  2 Dy 2.92, 4 Pu 2.92
Se3 0.8353 0.3353 0.5000  2 Dy 2.90, 4 Pu 2.92-2.93

## Properties
Magnetization ... 11.579 μB/f.u.
Formation energy from raw total energies ... -1.62 eV per atom



7.
A plane-wave DFT calculation with PBE-GGA was carried out for an optimized crystal structure of DyPu4Se6.

Lattice parameters (Å, degrees): 7.1301 7.1301 21.0535 90.00 90.00 147.05
Closest atoms and distances in Å follow each position.
Positions (direct):
Dy1 0.1522 0.8478 0.7500  6 Se 2.88-2.98
Dy2 0.8478 0.1522 0.2500  6 Se 2.88-2.98
Pu1 0.0902 0.9098 0.1310  6 Se 2.90-3.02
Pu2 0.0902 0.9098 0.3690  6 Se 2.90-3.02
Pu3 0.3612 0.6388 0.0397  6 Se 2.90-2.96
Pu4 0.3612 0.6388 0.4603  6 Se 2.90-2.96
Pu5 0.6388 0.3612 0.5397  6 Se 2.90-2.96
Pu6 0.6388 0.3612 0.9603  6 Se 2.90-2.96
Pu7 0.9098 0.0902 0.6310  6 Se 2.90-3.02
Pu8 0.9098 0.0902 0.8690  6 Se 2.90-3.02
Se1 0.0000 0.0000 0.0000  6 Pu 2.90-3.02
Se2 0.0000 0.0000 0.5000  6 Pu 2.90-3.02
Se3 0.1976 0.8024 0.2500  2 Dy 2.88, 2 Pu 2.90
Se4 0.2719 0.7281 0.5878  5 Pu 2.90-2.95
Se5 0.2719 0.7281 0.9122  5 Pu 2.90-2.95
Se6 0.4471 0.5529 0.1687  3 Pu 2.92-2.96, 2 Dy 2.98
Se7 0.4471 0.5529 0.3313  3 Pu 2.92-2.96, 2 Dy 2.98
Se8 0.5529 0.4471 0.6687  3 Pu 2.92-2.96, 2 Dy 2.98
Se9 0.5529 0.4471 0.8313  3 Pu 2.92-2.96, 2 Dy 2.98
Se10 0.7281 0.2719 0.0878  5 Pu 2.90-2.95
Se11 0.7281 0.2719 0.4122  5 Pu 2.90-2.95
Se12 0.8024 0.1976 0.7500  2 Dy 2.88, 2 Pu 2.90

## Properties
Magnetization ... 0.100 μB/f.u.
Formation energy from raw total energies ... -1.52 eV per atom



8.
A plane-wave DFT calculation with PBE-GGA was carried out for an optimized crystal structure of DyPu5Se6.

Lattice parameters (Å, degrees): 7.1651 7.1651 7.1658 99.59 99.59 119.97
Closest atoms and distances in Å follow each position.
Positions (direct):
Dy1 0.0000 0.0000 0.0000  6 Se 2.90-2.91
Pu1 0.1676 0.8324 0.5000  6 Se 2.93-2.94
Pu2 0.3337 0.6663 0.0000  6 Se 2.93
Pu3 0.5000 0.5000 0.5000  6 Se 2.93-2.94
Pu4 0.6663 0.3337 0.0000  6 Se 2.93
Pu5 0.8324 0.1676 0.5000  6 Se 2.93-2.94
Se1 0.0825 0.4137 0.2480  1 Dy 2.90, 5 Pu 2.93-2.94
Se2 0.2477 0.2477 0.7503  1 Dy 2.91, 5 Pu 2.93-2.94
Se3 0.4137 0.0825 0.2480  1 Dy 2.90, 5 Pu 2.93-2.94
Se4 0.5863 0.9175 0.7520  1 Dy 2.90, 5 Pu 2.93-2.94
Se5 0.7523 0.7523 0.2497  1 Dy 2.91, 5 Pu 2.93-2.94
Se6 0.9175 0.5863 0.7520  1 Dy 2.90, 5 Pu 2.93-2.94

## Properties
Magnetization ... 29.015 μB/f.u.
Formation energy from raw total energies ... -1.57 eV per atom



9.
A plane-wave DFT calculation with PBE-GGA was carried out for an optimized crystal structure of DyPu3Se4.

Lattice parameters (Å, degrees): 5.8364 5.8364 5.8364 90.00 90.00 90.00
Closest atoms and distances in Å follow each position.
Positions (direct):
Dy1 0.0000 0.0000 0.0000  6 Se 2.92
Pu1 0.0000 0.5000 0.5000  6 Se 2.92
Pu2 0.5000 0.0000 0.5000  6 Se 2.92
Pu3 0.5000 0.5000 0.0000  6 Se 2.92
Se1 0.0000 0.0000 0.5000  2 Dy 2.92, 4 Pu 2.92
Se2 0.0000 0.5000 0.0000  2 Dy 2.92, 4 Pu 2.92
Se3 0.5000 0.0000 0.0000  2 Dy 2.92, 4 Pu 2.92
Se4 0.5000 0.5000 0.5000  6 Pu 2.92

## Properties
Polymorph energy (0 for the lowest one) ... 8 meV/atom
Magnetization ... 17.154 μB/f.u.
Formation energy from raw total energies ... -1.59 eV per atom



10.
A plane-wave DFT calculation with PBE-GGA was carried out for an optimized crystal structure of Dy3Pu4Se8.

Lattice parameters (Å, degrees): 8.2028 8.2028 8.1837 119.91 119.91 89.97
Closest atoms and distances in Å follow each position.
Positions (direct):
Dy1 0.0000 0.0000 0.0000  6 Se 2.87-2.88
Dy2 0.0000 0.5000 0.5000  6 Se 2.90
Dy3 0.5000 0.0000 0.5000  6 Se 2.90
Pu1 0.0000 0.0000 0.5000  6 Se 2.93-2.96
Pu2 0.0000 0.5000 0.0000  6 Se 2.90
Pu3 0.5000 0.0000 0.0000  6 Se 2.90
Pu4 0.5000 0.5000 0.0000  6 Se 2.92-2.93
Se1 0.2483 0.7517 0.0000  3 Dy 2.88-2.90, 3 Pu 2.90-2.92
Se2 0.2494 0.2494 0.0044  1 Dy 2.87, 4 Pu 2.90-2.93
Se3 0.2532 0.2532 0.4958  3 Dy 2.88-2.90, 2 Pu 2.93-2.96
Se4 0.2530 0.7470 0.5000  2 Dy 2.90, 3 Pu 2.90-2.93
Se5 0.7470 0.2530 0.5000  2 Dy 2.90, 3 Pu 2.90-2.93
Se6 0.7468 0.7468 0.5042  3 Dy 2.88-2.90, 2 Pu 2.93-2.96
Se7 0.7506 0.7506 0.9956  1 Dy 2.87, 4 Pu 2.90-2.93
Se8 0.7517 0.2483 0.0000  3 Dy 2.88-2.90, 3 Pu 2.90-2.92

## Properties
Magnetization ... 11.307 μB/f.u.
Formation energy from raw total energies ... -1.65 eV per atom